Entry 1:
AgAu2I (PBE, optimized geometry); crystal system = tetragonal; magnetic moment = 0.000 μB/atom; DOS at the Fermi energy = 1.54 states/eV/cell; DFT total energy = -2.489 eV/atom; E above lowest polymorph = 0.0 meV/atom
1.0
-0.4763 3.8640 -1.3472
0.4916 -1.2925 -3.8807
-10.7560 -0.3290 -3.4396
I Au Ag
2 4 2
direct
0.0000 0.0000 0.0000
0.7500 0.2500 0.5000
0.6099 0.1250 0.2500
0.1401 0.6250 0.2500
0.3750 0.3901 0.7500
0.8750 0.8599 0.7500
0.5000 0.5000 0.0000
0.2500 0.7500 0.5000

***

Entry 2:
HRu2PtW (PBE, optimized geometry); crystal system = tetragonal; magnetic moment = 0.000 μB/atom; DOS at the Fermi energy = 2.84 states/eV/cell; DFT total energy = -8.201 eV/atom; E above lowest polymorph = 16.3 meV/atom
1.0
-1.3990 0.5836 -3.6831
-2.9189 -2.6195 0.6936
-2.2462 2.8484 1.3046
Ru W Pt H
2 1 1 1
direct
0.0000 0.5000 0.0000
0.5000 0.0000 0.0000
0.5000 0.5000 0.5000
0.0000 0.0000 0.5000
0.0000 0.0000 0.0000

***

Entry 3:
Ta4FeOs (PBE, optimized geometry); crystal system = cubic; energy of formation from the pure elements = 0.565 eV/atom; magnetic moment = 0.478 μB/atom; DOS at the Fermi energy = 6.06 states/eV/cell; DFT total energy = -10.619 eV/atom; E above lowest polymorph = 378.0 meV/atom
1.0
0.0000 3.7527 3.7527
3.7527 0.0000 3.7527
3.7527 3.7527 0.0000
Ta Fe Os
4 1 1
direct
0.8764 0.3745 0.3745
0.3745 0.3745 0.8764
0.3745 0.8764 0.3745
0.3745 0.3745 0.3745
0.7500 0.7500 0.7500
0.0000 0.0000 0.0000

***

Entry 4:
VCrMoOs (PBE, optimized geometry); crystal system = cubic; energy of formation from the pure elements = -0.065 eV/atom; magnetic moment = 0.000 μB/atom; DOS at the Fermi energy = 3.83 states/eV/cell; DFT total energy = -10.265 eV/atom
1.0
-3.9083 -0.8507 1.5419
-0.8165 -3.8099 1.7872
-0.6173 -0.2942 4.2318
Cr Mo Os V
1 1 1 1
direct
0.7500 0.7500 0.7500
0.0000 0.0000 0.0000
0.2500 0.2500 0.2500
0.5000 0.5000 0.5000

***

Entry 5:
NaCd2GaPt (PBE, optimized geometry); crystal system = tetragonal; energy of formation from the pure elements = -0.240 eV/atom; magnetic moment = 0.000 μB/atom; DOS at the Fermi energy = 1.77 states/eV/cell; DFT total energy = -2.683 eV/atom
1.0
-5.1439 -1.2276 -0.1457
0.9570 -3.5600 -3.7946
0.7073 -3.3591 3.3299
Na Ga Pt Cd
1 1 1 2
direct
0.5000 0.5000 0.5000
0.0000 0.0000 0.5000
0.0000 0.0000 0.0000
0.0000 0.5000 0.0000
0.5000 0.0000 0.0000

***

Entry 6:
TlSb2PdPb (PBE, optimized geometry); crystal system = tetragonal; magnetic moment = 0.000 μB/atom; DOS at the Fermi energy = 5.93 states/eV/cell; DFT total energy = -3.862 eV/atom
1.0
-1.0284 1.4493 3.8960
-2.8573 -3.1614 0.4218
10.5753 -8.7513 6.0470
Tl Sb Pd Pb
2 4 2 2
direct
0.0000 0.0000 0.5000
0.5000 0.5000 0.5000
0.0000 0.5000 0.6931
0.0000 0.5000 0.0571
0.5000 0.0000 0.9429
0.5000 0.0000 0.3069
0.5000 0.0000 0.1186
0.0000 0.5000 0.8814
0.5000 0.0000 0.7408
0.0000 0.5000 0.2592

***

Entry 7:
Sc2SiNi (PBE, optimized geometry); crystal system = trigonal; magnetic moment = 0.000 μB/atom; DOS at the Fermi energy = 3.49 states/eV/cell; DFT total energy = -5.807 eV/atom
1.0
1.7408 -1.5122 8.8024
4.0952 -3.3235 7.4151
4.5560 -0.1105 7.8759
Sc Ni Si
2 1 1
direct
0.8983 0.8983 0.8983
0.1017 0.1017 0.1017
0.5000 0.5000 0.5000
0.0000 0.0000 0.0000

***

Entry 8:
LiTaSi2 (PBE, optimized geometry); crystal system = orthorhombic; magnetic moment = 0.000 μB/atom; DOS at the Fermi energy = 2.07 states/eV/cell; DFT total energy = -5.945 eV/atom; E above lowest polymorph = 443.7 meV/atom
1.0
-2.3535 1.1626 0.8072
-0.9595 -1.8742 -1.7632
-0.6139 -5.6304 6.3191
Li Si Ta
1 2 1
direct
0.5000 0.5000 0.7683
0.0000 0.0000 0.0132
0.5000 0.5000 0.2424
0.0000 0.0000 0.4761

***

Entry 9:
Ag5SbTe4Br2 (PBE, optimized geometry); crystal system = orthorhombic; magnetic moment = 0.000 μB/atom; DOS at the Fermi energy = 0.03 states/eV/cell; DFT total energy = -2.979 eV/atom
1.0
6.6943 0.0000 0.0000
-3.3472 6.4253 0.0000
0.0000 0.0000 8.4703
Ag Sb Te Br
5 1 4 2
direct
0.0655 0.3900 0.2374
0.3797 0.0000 0.5000
0.0655 0.3900 0.7626
0.6755 0.6100 0.7626
0.6755 0.6100 0.2374
0.4672 0.0000 0.0000
0.6894 0.0000 0.2760
0.6894 0.0000 0.7240
0.3871 0.3493 0.0000
0.0378 0.6507 0.0000
0.9626 0.6522 0.5000
0.3105 0.3478 0.5000

***

Entry 10:
Ba3Al3Cd8 (PBE, optimized geometry); crystal system = monoclinic; energy of formation from the pure elements = -0.219 eV/atom; magnetic moment = 0.000 μB/atom; DOS at the Fermi energy = 7.44 states/eV/cell; DFT total energy = -1.956 eV/atom; E above lowest polymorph = 0.0 meV/atom
1.0
-0.4441 1.5992 -4.8442
-9.0127 2.6879 -0.9928
-1.5988 9.1152 0.4493
Ba Al Cd
3 3 8
direct
0.2947 0.7040 0.7066
0.7053 0.2960 0.2934
0.0000 0.0000 0.0000
0.0000 0.5000 0.5000
0.6587 0.6977 0.9849
0.3413 0.3023 0.0151
0.1342 0.1582 0.5733
0.8658 0.8418 0.4267
0.8557 0.4254 0.8633
0.1443 0.5746 0.1367
0.5036 0.6748 0.3180
0.4964 0.3252 0.6820
0.3458 0.0168 0.2917
0.6542 0.9832 0.7083

***

Entry 11:
Hg2WSe (PBE, optimized geometry); crystal system = trigonal; magnetic moment = 0.000 μB/atom; DOS at the Fermi energy = 1.24 states/eV/cell; DFT total energy = -4.136 eV/atom
1.0
-7.8587 -4.2666 5.8660
-6.8055 -6.9007 4.5210
-5.4423 -5.8189 7.1341
Hg Se W
2 1 1
direct
0.0140 0.0140 0.0140
0.2518 0.2518 0.2518
0.4777 0.4777 0.4777
0.7565 0.7565 0.7565

***

Entry 12:
Dy12Tm7Sn (PBE, optimized geometry); crystal system = trigonal; energy of formation from the pure elements = 0.154 eV/atom; magnetic moment = 0.000 μB/atom; DOS at the Fermi energy = 40.10 states/eV/cell; DFT total energy = -4.372 eV/atom
1.0
-3.2669 -7.6984 -2.2639
-1.8481 -1.8218 8.2661
-7.9101 3.4312 -0.8490
Dy Tm Sn
12 7 1
direct
0.0085 0.3363 0.8887
0.6637 0.1113 0.9915
0.4697 0.1243 0.3425
0.8757 0.6575 0.5303
0.1113 0.9915 0.6637
0.6575 0.5303 0.8757
0.3425 0.4697 0.1243
0.8887 0.0085 0.3363
0.1243 0.3425 0.4697
0.5303 0.8757 0.6575
0.3363 0.8887 0.0085
0.9915 0.6637 0.1113
0.2189 0.6269 0.7594
0.3731 0.2406 0.7811
0.2406 0.7811 0.3731
0.5000 0.5000 0.5000
0.7594 0.2189 0.6269
0.6269 0.7594 0.2189
0.7811 0.3731 0.2406
0.0000 0.0000 0.0000

***

Entry 13:
TaHgBr2 (PBE, optimized geometry); crystal system = cubic; magnetic moment = 0.751 μB/atom; DOS at the Fermi energy = 5.62 states/eV/cell; DFT total energy = -2.996 eV/atom; E above lowest polymorph = 1148.5 meV/atom
1.0
-4.0611 2.9269 -1.1585
-2.1300 -0.2924 -4.6668
-4.6322 -2.1466 -0.5800
Hg Br Ta
1 2 1
direct
0.5000 0.5000 0.5000
0.0000 0.0000 0.0000
0.2500 0.2500 0.2500
0.7500 0.7500 0.7500

***

Entry 14:
IrRu2 (PBE, optimized geometry); crystal system = orthorhombic; energy of formation from the pure elements = -0.045 eV/atom; magnetic moment = 0.000 μB/atom; DOS at the Fermi energy = 11.21 states/eV/cell; DFT total energy = -9.183 eV/atom; E above lowest polymorph = 4.2 meV/atom
1.0
4.7503 0.0000 0.0000
0.0000 4.3265 0.0000
0.0000 0.0000 8.2256
Ir Ru
4 8
direct
0.1667 0.2500 0.8339
0.3333 0.7500 0.3339
0.6667 0.2500 0.6661
0.8333 0.7500 0.1661
0.1670 0.2500 0.1668
0.1664 0.2500 0.4995
0.3336 0.7500 0.9995
0.3330 0.7500 0.6668
0.6670 0.2500 0.3332
0.6664 0.2500 0.0005
0.8336 0.7500 0.5005
0.8330 0.7500 0.8332

***

Entry 15:
Pm2SmY6Tm3 (PBE, optimized geometry); crystal system = monoclinic; energy of formation from the pure elements = 0.023 eV/atom; magnetic moment = 0.000 μB/atom; DOS at the Fermi energy = 17.69 states/eV/cell; DFT total energy = -5.512 eV/atom
1.0
-5.1071 -1.8061 -2.9815
4.1354 -4.2018 1.8648
-5.2590 1.0110 10.5292
Pm Sm Y Tm
2 1 6 3
direct
0.3334 0.6666 0.0000
0.6666 0.3334 0.0000
0.0000 0.0000 0.0000
0.9151 0.5818 0.7461
0.7518 0.7518 0.2540
0.0849 0.4182 0.2539
0.5818 0.9151 0.7461
0.2482 0.2482 0.7460
0.4182 0.0849 0.2539
0.1667 0.8333 0.5000
0.8333 0.1667 0.5000
0.5000 0.5000 0.5000

***

Entry 16:
Ta3TcC (PBE, optimized geometry); crystal system = cubic; energy of formation from the pure elements = 2.353 eV/atom; magnetic moment = 0.000 μB/atom; DOS at the Fermi energy = 2.18 states/eV/cell; DFT total energy = -8.677 eV/atom; E above lowest polymorph = 2440.6 meV/atom
1.0
-4.0733 -2.4766 0.1980
1.6959 -3.0494 -3.2542
1.8157 -2.7078 3.4836
C Tc Ta
1 1 3
direct
0.5000 0.5000 0.5000
0.0000 0.0000 0.0000
0.0000 0.5000 0.0000
0.0000 0.0000 0.5000
0.5000 0.0000 0.0000

***

Entry 17:
LiHRh (PBE, optimized geometry); crystal system = triclinic; magnetic moment = 0.000 μB/atom; DOS at the Fermi energy = 6.70 states/eV/cell; DFT total energy = -4.423 eV/atom
1.0
5.6291 -0.0472 -0.1481
-0.0117 4.6552 -0.5565
1.6053 1.1971 4.3654
H Rh Li
4 4 4
direct
0.8012 0.5867 0.9905
0.0189 0.1448 0.0258
0.6165 0.9131 0.5097
0.3984 0.3554 0.4743
0.2089 0.2500 0.2500
0.0875 0.5021 0.7584
0.7088 0.2499 0.2501
0.3305 0.9982 0.7418
0.9677 0.7385 0.2635
0.5779 0.4829 0.7653
0.4502 0.7616 0.2364
0.8409 0.0170 0.7344

***

Entry 18:
Ti6Ni5Rh (PBE, optimized geometry); crystal system = monoclinic; energy of formation from the pure elements = -0.434 eV/atom; magnetic moment = 0.000 μB/atom; DOS at the Fermi energy = 12.88 states/eV/cell; DFT total energy = -7.403 eV/atom
1.0
4.4635 -0.3204 0.8140
-0.0155 5.2136 2.1388
1.1893 0.0206 7.3861
Ni Rh Ti
5 1 6
direct
0.5932 0.1649 0.6702
0.4148 0.3373 0.3252
0.0000 0.5000 0.0000
0.5852 0.6627 0.6748
0.4068 0.8351 0.3298
0.0000 0.0000 0.0000
0.8676 0.5767 0.3441
0.8677 0.0792 0.3441
0.5000 0.7464 0.0001
0.5000 0.2536 0.9999
0.1323 0.9208 0.6559
0.1324 0.4233 0.6559

***

Entry 19:
CaMnW4 (PBE, optimized geometry); crystal system = cubic; energy of formation from the pure elements = 0.634 eV/atom; magnetic moment = 0.378 μB/atom; DOS at the Fermi energy = 4.60 states/eV/cell; DFT total energy = -9.863 eV/atom
1.0
0.0000 3.8156 3.8156
3.8156 0.0000 3.8156
3.8156 3.8156 0.0000
Ca Mn W
1 1 4
direct
0.7500 0.7500 0.7500
0.0000 0.0000 0.0000
0.8727 0.3758 0.3758
0.3758 0.3758 0.8727
0.3758 0.8727 0.3758
0.3758 0.3758 0.3758

***

Entry 20:
Re2NiN (PBE, optimized geometry); crystal system = tetragonal; magnetic moment = 0.000 μB/atom; DOS at the Fermi energy = 10.78 states/eV/cell; DFT total energy = -8.917 eV/atom
1.0
4.5775 0.0000 0.0000
0.0000 4.5775 0.0000
2.2887 2.2887 5.6439
Re N Ni
4 2 2
direct
0.5381 0.1250 0.2500
0.2119 0.6250 0.2500
0.3750 0.4619 0.7500
0.8750 0.7881 0.7500
0.5000 0.5000 0.0000
0.2500 0.7500 0.5000
0.0000 0.0000 0.0000
0.7500 0.2500 0.5000

***

Entry 21:
Nd9In3O2 (PBE, optimized geometry); crystal system = trigonal; magnetic moment = 0.000 μB/atom; DOS at the Fermi energy = 9.54 states/eV/cell; DFT total energy = -5.392 eV/atom
1.0
7.0996 0.0000 0.0000
-3.5498 6.1485 0.0000
0.0000 0.0000 8.7036
Nd In O
9 3 2
direct
0.1688 0.8312 0.6691
0.1688 0.3377 0.6691
0.5000 0.5000 0.0000
0.8312 0.6623 0.3309
0.3377 0.1688 0.3309
0.6623 0.8312 0.6691
0.8312 0.1688 0.3309
0.0000 0.5000 0.0000
0.5000 0.0000 0.0000
0.6667 0.3333 0.6669
0.0000 0.0000 0.0000
0.3333 0.6667 0.3331
0.6667 0.3333 0.1594
0.3333 0.6667 0.8406

***

Entry 22:
In2Te2Mo (PBE, optimized geometry); crystal system = tetragonal; magnetic moment = 0.000 μB/atom; DOS at the Fermi energy = 5.65 states/eV/cell; DFT total energy = -4.216 eV/atom; E above lowest polymorph = 0.0 meV/atom
1.0
-4.3410 -5.2285 1.3205
1.7291 0.2561 6.6985
-4.4412 3.9388 0.9959
Mo Te In
2 4 4
direct
0.0000 0.0000 0.0000
0.5000 0.5000 0.0000
0.3464 0.8464 0.0000
0.8464 0.6536 0.0000
0.6536 0.1536 0.0000
0.1536 0.3464 0.0000
0.1880 0.6880 0.5000
0.6880 0.8120 0.5000
0.8120 0.3120 0.5000
0.3120 0.1880 0.5000

***

Entry 23:
Dy2Y3Tl3 (PBE, optimized geometry); crystal system = orthorhombic; energy of formation from the pure elements = -0.291 eV/atom; magnetic moment = 0.000 μB/atom; DOS at the Fermi energy = 6.98 states/eV/cell; DFT total energy = -4.753 eV/atom
1.0
3.7789 0.0000 0.0000
0.0000 5.3689 0.0000
-1.8894 -2.6844 11.2940
Dy Y Tl
2 3 3
direct
0.7352 0.2352 0.4703
0.2648 0.7648 0.5297
0.6252 0.6252 0.2505
0.3748 0.3748 0.7495
0.5000 0.0000 0.0000
0.1201 0.1201 0.2402
0.0000 0.5000 0.0000
0.8799 0.8799 0.7598

***

Entry 24:
Y2Be (PBE, optimized geometry); crystal system = orthorhombic; energy of formation from the pure elements = 0.138 eV/atom; magnetic moment = 0.001 μB/atom; DOS at the Fermi energy = 8.81 states/eV/cell; DFT total energy = -5.413 eV/atom; E above lowest polymorph = 81.0 meV/atom
1.0
0.9810 4.0463 5.0489
-2.4771 -0.8522 -5.9970
-5.7283 -1.9006 2.6362
Y Be
4 2
direct
0.5209 0.4791 0.7145
0.4791 0.5209 0.2145
0.7877 0.2123 0.5152
0.2123 0.7877 0.0152
0.8818 0.1182 0.9412
0.1182 0.8818 0.4412